Record 1
Compound: BeFeTe2
Source: Alexandria
Functional: PBE
Structure: optimized geometry

a = 4.1922 Å, b = 4.1922 Å, c = 6.6552 Å
α = 98.58°, β = 98.58°, γ = 49.08°
Last column: nearest neighbours and their distance in Å.
Atoms (fractional coordinates):
Be 0.0000 0.0000 0.0000  3 Fe 2.20-2.44, 1 Te 2.39
Fe 0.2742 0.2742 0.9357  3 Be 2.20-2.44
Te 0.5434 0.5434 0.7335  2 Be 2.55, 3 Fe 2.63-2.68
Te 0.7854 0.7854 0.2239  1 Be 2.39, 2 Fe 2.58

Calculated values
formation energy from raw total energies = 1.5 kJ/mol of atoms
space group = Cm (8)
final energy = -18.4 eV/f.u.
total moment = 1.47 μB/cell

---

Record 2
Compound: BeFeTe2
Source: Alexandria
Functional: PBE
Structure: optimized geometry

a = 4.8690 Å, b = 4.8690 Å, c = 4.0778 Å
α = 108.13°, β = 108.13°, γ = 100.16°
Last column: nearest neighbours and their distance in Å.
Atoms (fractional coordinates):
Be 0.0000 0.0000 0.0000  4 Te 2.64
Fe 0.5000 0.5000 0.0000  4 Te 2.64
Te 0.0000 0.5000 0.5000  2 Fe 2.64, 2 Be 2.64
Te 0.5000 0.0000 0.5000  2 Fe 2.64, 2 Be 2.64

Calculated values
formation energy from raw total energies = 51.9 kJ/mol of atoms
space group = C2/m (12)
final energy = -16.3 eV/f.u.
total moment = 2.54 μB/cell

---

Record 3
Compound: BeFeTe2
Source: Alexandria
Functional: PBE
Structure: optimized geometry

a = 4.8703 Å, b = 4.8703 Å, c = 4.8703 Å
α = 60.00°, β = 60.00°, γ = 60.00°
Last column: nearest neighbours and their distance in Å.
Atoms (fractional coordinates):
Be 0.0000 0.0000 0.0000  4 Fe 2.98, 4 Te 2.98
Fe 0.7500 0.7500 0.7500  4 Be 2.98, 4 Te 2.98
Te 0.2500 0.2500 0.2500  4 Be 2.98, 4 Te 2.98
Te 0.5000 0.5000 0.5000  4 Fe 2.98, 4 Te 2.98

Calculated values
formation energy from raw total energies = 96.5 kJ/mol of atoms
space group = F-43m (216)
final energy = -14.5 eV/f.u.
total moment = 2.59 μB/cell